(1)
# NiOsRh3

NiOsRh3 after structural relaxation (PBE, Alexandria).

abc: 4.675 4.675 4.675
angles: 90.00 90.00 90.00
Site moments in Bohr magnetons follow the coordinates.
Fractional coordinates of all 5 atoms:
1 Rh 0.000 0.500 0.000  -0.01
2 Rh 0.000 0.000 0.500  -0.02
3 Rh 0.500 0.000 0.000  0.06
4 Os 0.000 0.000 0.000  -0.03
5 Ni 0.500 0.500 0.500  0.82

Properties
**DFT total energy**: -6.21 eV per atom
**Space group**: Pm-3m, No. 221
**N(E_F)**: 8.23 states/eV/cell
**Total magnetization**: 0.77 μB per formula unit
**V**: 20.4 Å³ per atom
**Energy above the most stable polymorph in this dataset**: 1207 meV per atom
**DFT formation energy**: 1.60 eV per atom

=====

(2)
# Be2CuTe

Be2CuTe after structural relaxation (PBE, Alexandria).

abc: 4.198 4.198 4.321
angles: 89.97 89.97 55.15
Fractional coordinates of all 4 atoms:
1 Be 0.066 0.066 0.752
2 Be 0.434 0.434 0.748
3 Cu 0.750 0.750 0.750
4 Te 0.250 0.250 0.250

Properties
**Energy relative to the elements, uncorrected**: 0.9 eV/f.u.
**DFT total energy**: -3.45 eV per atom
**Space group**: C2/m, No. 12
**N(E_F)**: 1.37 states/eV/cell
**Total magnetization**: 0.00 μB per formula unit
**V**: 15.6 Å³ per atom